Entry 1:
The following is a DFT calculation (GGA-PBE) of an optimized crystal structure of Pr2SmGe7.

Structure (extended XYZ):
```
10
Lattice="2.081 -12.571 0.000 2.081 12.571 0.000 0.000 0.000 4.300" Properties=species:S:1:pos:R:3 pbc="T T T"
Ge 2.081 -2.259 0.000
Ge 2.081 2.259 0.000
Ge 2.081 -10.301 2.150
Ge 2.081 -5.475 2.150
Ge 2.081 0.000 2.150
Ge 2.081 5.475 2.150
Ge 2.081 10.301 2.150
Pr 2.081 -8.031 0.000
Pr 2.081 8.031 0.000
Sm 0.000 0.000 0.000
```

Results
**Magnetic moment**: 0.003 μB per cell
**V**: 22.49 Å³ per atom
**Total energy**: -5.197 eV/atom

Entry 2:
The following is a DFT calculation (GGA-PBE) of an optimized crystal structure of Dy5Ir3.

Structure (extended XYZ):
```
32
Lattice="-2.815 -8.876 -5.596 7.012 -5.902 5.834 -4.559 -1.226 4.239" Properties=species:S:1:pos:R:3 pbc="T T T"
Dy 0.000 0.000 0.000
Dy 2.098 -7.389 0.119
Dy -0.762 -3.257 -0.596
Dy -0.752 -6.602 -1.554
Dy 3.830 -8.477 2.832
Dy 3.840 -11.822 1.875
Dy 0.075 -2.964 2.806
Dy -1.060 -9.918 -0.427
Dy 1.817 -5.785 3.863
Dy 0.682 -12.739 0.630
Dy -2.279 -0.613 2.119
Dy -0.181 -8.002 2.238
Dy -4.216 -7.574 -0.812
Dy -2.536 -5.651 1.552
Dy 1.055 -10.654 3.965
Dy 2.735 -8.732 6.329
Dy -4.523 -10.890 0.315
Dy -1.698 -5.359 4.954
Dy -2.103 -11.571 2.721
Dy 0.722 -6.040 7.359
Ir 2.945 -3.102 3.438
Ir -2.444 -8.726 -2.779
Ir 0.313 -5.424 1.142
Ir 1.604 -9.968 1.215
Ir 4.361 -6.666 5.136
Ir -3.126 -4.901 -1.200
Ir 0.666 -3.715 5.558
Ir -2.774 -3.192 3.216
Ir -2.832 -8.766 1.541
Ir 0.190 -7.851 5.055
Ir 0.132 -13.426 3.380
Ir -5.405 -5.514 0.919
```

Results
**Magnetic moment**: 0.013 μB per cell
**Energy relative to the elements**: -0.81 eV/atom
**V**: 23.40 Å³ per atom

Entry 3:
The following is a DFT calculation (GGA-PBE) of an optimized crystal structure of Y2Ho2BICl4.

Structure (extended XYZ):
```
10
Lattice="-3.716 4.754 -6.409 -0.851 2.880 -8.274 -4.579 -7.141 0.139" Properties=species:S:1:pos:R:3 pbc="T T T"
B -2.284 3.817 -7.342
Cl -4.439 5.306 -12.147
Cl -2.186 -0.948 -2.406
Cl -6.960 1.441 -12.138
Cl -4.708 -4.812 -2.397
Ho -0.902 -1.407 0.027
Ho -3.677 -5.734 0.112
I -4.573 0.247 -7.272
Y -3.323 4.391 -9.515
Y -5.824 -3.898 -5.029
```

Results
**Magnetic moment**: 0.006 μB per cell
**V**: 27.52 Å³ per atom
**Total energy**: -5.324 eV/atom

Entry 4:
The following is a DFT calculation (GGA-PBE) of an optimized crystal structure of Gd3Si4Ni.

Structure (extended XYZ):
```
8
Lattice="-1.265 3.219 4.491 -3.202 -1.975 0.514 3.956 -5.549 3.328" Properties=species:S:1:pos:R:3 pbc="T T T"
Gd -1.259 -0.974 2.438
Gd 0.206 0.967 5.003
Gd 1.001 -4.342 3.575
Ni 2.068 -1.875 5.683
Si 1.442 -1.452 3.407
Si -0.243 -1.911 5.166
Si 3.808 -5.283 3.426
Si 1.295 -3.946 6.933
```

Results
**Magnetic moment**: 0.000 μB per cell
**V**: 20.05 Å³ per atom
**Total energy**: -5.790 eV/atom

Entry 5:
The following is a DFT calculation (GGA-PBE) of an optimized crystal structure of TaReNO.

Structure (extended XYZ):
```
8
Lattice="-0.536 3.609 1.167 0.492 -1.103 3.636 6.143 1.075 -0.504" Properties=species:S:1:pos:R:3 pbc="T T T"
N 2.094 2.252 3.428
N 4.004 1.329 0.871
O -0.279 2.431 1.785
O 0.235 0.075 3.019
Re 2.792 2.969 1.532
Re 3.306 0.612 2.766
Ta 0.881 0.783 1.128
Ta 5.218 2.798 3.171
```

Results
**Magnetic moment**: 0.004 μB per cell
**V**: 11.48 Å³ per atom
**Relative energy among the computed polymorphs**: 2.06 eV/f.u.

Entry 6:
The following is a DFT calculation (GGA-PBE) of an optimized crystal structure of BaPrO3.

Structure (extended XYZ):
```
20
Lattice="-4.473 3.187 -2.922 -1.496 -4.729 3.756 -0.620 7.099 8.691" Properties=species:S:1:pos:R:3 pbc="T T T"
Ba 0.000 0.000 0.000
Ba -2.643 -0.315 3.702
Ba -0.310 3.549 4.346
Ba -3.946 5.872 5.822
O -2.237 1.593 -1.461
O -0.748 -2.364 1.878
O -2.985 -0.771 0.417
O -1.810 2.035 1.842
O -4.156 3.707 0.309
O -4.941 1.227 2.279
O -2.546 5.143 2.884
O -1.058 1.185 6.223
O -3.294 2.779 4.762
O -1.648 4.331 7.245
O -2.433 1.850 9.216
O -4.779 3.522 7.683
Pr -3.551 1.351 0.287
Pr -3.721 3.295 2.666
Pr -2.868 2.262 6.858
Pr -3.038 4.206 9.238
```

Results
**Magnetic moment**: 4.005 μB per cell
**V**: 18.83 Å³ per atom
**Total energy**: -6.628 eV/atom

Entry 7:
The following is a DFT calculation (GGA-PBE) of an optimized crystal structure of Re28Ni.

Structure (extended XYZ):
```
29
Lattice="8.095 1.376 1.095 -2.634 -5.550 5.557 -1.296 -2.917 -7.644" Properties=species:S:1:pos:R:3 pbc="T T T"
Ni 0.000 0.000 0.000
Re 5.221 0.887 0.706
Re 2.504 -0.561 1.481
Re 0.584 -1.800 2.280
Re 4.482 -1.276 2.967
Re -1.699 -3.580 3.584
Re 1.431 -3.245 4.236
Re 4.174 -3.890 3.998
Re 2.763 -0.052 -1.070
Re -1.231 -2.630 0.591
Re 2.912 -3.337 1.822
Re 0.266 -4.460 1.905
Re 4.550 -1.695 0.123
Re 1.479 -2.518 -0.352
Re 1.082 -0.820 -2.634
Re -0.991 -2.158 -1.771
Re 5.017 -0.224 -2.304
Re -2.318 -4.959 0.747
Re 3.336 -2.504 -2.354
Re -0.059 -4.696 -0.943
Re 4.179 -4.186 -0.411
Re 2.106 -5.525 0.451
Re -0.836 -1.881 -4.930
Re 2.346 -1.445 -4.789
Re -1.938 -4.210 -3.007
Re 0.800 -3.408 -3.366
Re 5.014 -2.237 -4.289
Re -1.722 -6.585 -1.488
Re 2.364 -5.016 -2.100
```

Results
**Magnetic moment**: 0.011 μB per cell
**Energy relative to the elements**: 0.07 eV/atom
**V**: 15.09 Å³ per atom

Entry 8:
The following is a DFT calculation (GGA-PBE) of an optimized crystal structure of Nd2YMg4Tl2.

Structure (extended XYZ):
```
9
Lattice="-0.582 -3.401 -3.231 7.603 -0.599 -0.740 -3.613 -4.319 5.197" Properties=species:S:1:pos:R:3 pbc="T T T"
Mg 1.555 -1.846 -1.795
Mg 0.024 -0.030 0.027
Mg -1.169 -2.749 -0.354
Mg 2.737 -5.433 1.767
Nd 5.532 -3.053 2.216
Nd 0.718 -4.650 4.765
Tl 3.533 -3.537 -0.371
Tl -0.145 -4.757 1.575
Y 1.718 -2.117 1.919
```

Results
**Magnetic moment**: 0.008 μB per cell
**V**: 26.89 Å³ per atom
**Total energy**: -3.259 eV/atom

Entry 9:
The following is a DFT calculation (GGA-PBE) of an optimized crystal structure of ThAlPt.

Structure (extended XYZ):
```
9
Lattice="7.315 0.000 0.000 -3.658 6.335 0.000 0.000 0.000 4.185" Properties=species:S:1:pos:R:3 pbc="T T T"
Al 1.704 0.000 0.000
Al -0.852 1.475 0.000
Al 2.806 4.860 0.000
Pt 3.658 2.112 0.000
Pt 0.000 4.223 0.000
Pt 0.000 0.000 2.093
Th 4.244 0.000 2.093
Th 1.536 2.660 2.093
Th -2.122 3.675 2.093
```

Results
**Magnetic moment**: 0.000 μB per cell
**V**: 21.55 Å³ per atom
**Total energy**: -6.828 eV/atom

Entry 10:
The following is a DFT calculation (GGA-PBE) of an optimized crystal structure of LiGa2CuS4.

Structure (extended XYZ):
```
8
Lattice="-2.729 2.729 5.238 2.729 -2.729 5.238 2.729 2.729 -5.238" Properties=species:S:1:pos:R:3 pbc="T T T"
Cu 0.000 2.729 2.619
Ga 0.000 0.000 5.238
Ga 2.729 0.000 2.619
Li 0.000 0.000 0.000
S -1.319 1.326 6.579
S 1.326 1.319 3.897
S 1.402 1.410 -1.341
S 4.048 1.402 1.341
```

Results
**V**: 19.50 Å³ per atom
**Total energy**: -4.326 eV/atom

Entry 11:
The following is a DFT calculation (GGA-PBE) of an optimized crystal structure of CdBiAsO.

Structure (extended XYZ):
```
32
Lattice="9.856 0.000 0.000 0.000 18.895 0.000 0.000 0.000 3.955" Properties=species:S:1:pos:R:3 pbc="T T T"
As 7.091 0.218 0.000
As 2.156 4.280 0.000
As 7.084 5.167 0.000
As 2.162 9.230 0.000
As 7.694 9.665 0.000
As 2.773 13.728 0.000
As 7.701 14.615 0.000
As 2.766 18.677 0.000
Bi 7.334 2.097 1.977
Bi 0.211 4.400 1.977
Bi 5.139 5.047 1.977
Bi 2.405 7.351 1.977
Bi 7.451 11.544 1.977
Bi 4.717 13.848 1.977
Bi 9.646 14.495 1.977
Bi 2.523 16.798 1.977
Cd 0.721 1.425 0.000
Cd 4.055 2.125 0.000
Cd 8.983 7.322 0.000
Cd 5.649 8.022 0.000
Cd 4.207 10.873 0.000
Cd 0.874 11.573 0.000
Cd 5.802 16.770 0.000
Cd 9.135 17.470 0.000
O 9.732 2.025 1.977
O 5.026 2.619 1.977
O 0.098 6.829 1.977
O 4.804 7.422 1.977
O 5.052 11.473 1.977
O 9.758 12.066 1.977
O 4.830 16.276 1.977
O 0.124 16.870 1.977
```

Results
**V**: 23.02 Å³ per atom
**Relative energy among the computed polymorphs**: 0.15 eV/f.u.

Entry 12:
The following is a DFT calculation (GGA-PBE) of an optimized crystal structure of SmY2Ga2Pd4.

Structure (extended XYZ):
```
9
Lattice="5.028 -2.176 0.000 5.028 2.176 0.000 -1.037 0.000 8.574" Properties=species:S:1:pos:R:3 pbc="T T T"
Ga 2.998 0.000 1.885
Ga 6.022 0.000 6.689
Pd 7.107 0.000 0.766
Pd 8.825 0.000 3.120
Pd 0.195 0.000 5.455
Pd 1.913 0.000 7.808
Sm 0.000 0.000 0.000
Y 5.879 0.000 3.317
Y 3.140 0.000 5.257
```

Results
**Magnetic moment**: 0.019 μB per cell
**V**: 20.85 Å³ per atom
**Total energy**: -5.774 eV/atom

Question: V of number 6 (BaPrO3)?
Answer: 18.83 Å³ per atom

Question: Among the records above, which one has the lowest V?
Answer: TaReNO

Question: The lowest V belongs to which entry?
Answer: TaReNO

Question: V of number 11 (CdBiAsO)?
Answer: 23.02 Å³ per atom